No. 1
Density functional theory data (GGA-PBE) for an optimized crystal structure of Er2PuSi.

Calculated values
Its density of states at the Fermi level is 11.6 states/eV per cell. As for the offset from the most stable computed form: 0 meV/atom.

Cell lengths 4.413, 4.630, 4.630 Å; angles 90.00, 90.00, 90.00 degrees
Site moments in Bohr magnetons follow the coordinates.
Sites, in units of the cell vectors:
Er (0.000, 0.000, 0.500)  0.32
Er (0.000, 0.500, 0.000)  0.32
Si (0.500, 0.000, 0.000)  -0.05
Pu (0.500, 0.500, 0.500)  5.48

=====

No. 2
Density functional theory data (GGA-PBE) for an optimized crystal structure of MgCdGeH2.

Calculated values
Its density of states at the Fermi level is 2.2 states/eV per cell. The value obtained for the total DFT energy (no corrections) is -12.25 eV per cell.

Cell lengths 3.855, 5.794, 3.855 Å; angles 90.00, 90.00, 90.00 degrees
Sites, in units of the cell vectors:
Cd (0.500, 0.500, 0.500)
Mg (0.000, 0.000, 0.000)
Ge (0.000, 0.500, 0.000)
H (0.500, 0.000, 0.000)
H (0.000, 0.000, 0.500)

=====

No. 3
Density functional theory data (GGA-PBE) for an optimized crystal structure of Zn12Ga3Sb5.

Calculated values
Its density of states at the Fermi level is 27.7 states/eV per cell. The value obtained for the total DFT energy (no corrections) is -172.56 eV per cell.

Cell lengths 13.349, 13.349, 13.349 Å; angles 109.47, 109.47, 109.47 degrees
Sites, in units of the cell vectors:
Sb (0.625, 0.875, 0.250)
Sb (0.125, 0.375, 0.250)
Zn (0.328, 0.758, 0.388)
Zn (0.440, 0.069, 0.328)
Sb (0.875, 0.625, 0.750)
Zn (0.569, 0.328, 0.940)
Ga (0.375, 0.625, 0.250)
Ga (0.750, 0.875, 0.625)
Zn (0.172, 0.112, 0.742)
Ga (0.625, 0.250, 0.375)
Ga (0.875, 0.125, 0.250)
Zn (0.931, 0.370, 0.258)
Sb (0.500, 0.000, 0.500)
Sb (0.000, 0.000, 0.000)
Sb (0.000, 0.000, 0.500)
Zn (0.242, 0.672, 0.112)
Sb (0.500, 0.500, 0.000)
Sb (0.000, 0.500, 0.000)
Zn (0.931, 0.560, 0.172)
Zn (0.112, 0.172, 0.242)
Zn (0.388, 0.258, 0.328)
Zn (0.069, 0.630, 0.742)
Sb (0.875, 0.250, 0.625)
Zn (0.440, 0.370, 0.612)
Zn (0.560, 0.630, 0.388)
Zn (0.130, 0.388, 0.060)
Ga (0.125, 0.250, 0.875)
Sb (0.625, 0.750, 0.875)
Zn (0.431, 0.672, 0.060)
Sb (0.375, 0.125, 0.750)
Zn (0.370, 0.440, 0.112)
Zn (0.758, 0.328, 0.888)
Zn (0.060, 0.172, 0.431)
Sb (0.125, 0.750, 0.375)
Sb (0.500, 0.000, 0.000)
Ga (0.750, 0.375, 0.125)
Zn (0.940, 0.828, 0.569)
Zn (0.112, 0.940, 0.370)
Zn (0.130, 0.742, 0.569)
Zn (0.888, 0.828, 0.758)
Sb (0.250, 0.375, 0.625)
Sb (0.500, 0.500, 0.500)
Zn (0.742, 0.130, 0.069)
Zn (0.328, 0.569, 0.440)
Zn (0.388, 0.130, 0.560)
Zn (0.069, 0.440, 0.828)
Zn (0.569, 0.242, 0.130)
Ga (0.875, 0.750, 0.125)
Zn (0.612, 0.870, 0.440)
Ga (0.375, 0.750, 0.625)
Zn (0.242, 0.569, 0.630)
Zn (0.258, 0.870, 0.931)
Zn (0.672, 0.242, 0.612)
Zn (0.630, 0.069, 0.242)
Ga (0.625, 0.375, 0.750)
Zn (0.870, 0.612, 0.940)
Ga (0.250, 0.625, 0.875)
Zn (0.172, 0.060, 0.931)
Zn (0.888, 0.060, 0.630)
Zn (0.828, 0.940, 0.069)
Ga (0.250, 0.125, 0.375)
Zn (0.258, 0.388, 0.828)
Sb (0.375, 0.250, 0.125)
Zn (0.758, 0.431, 0.370)
Zn (0.612, 0.742, 0.672)
Zn (0.370, 0.931, 0.758)
Zn (0.060, 0.888, 0.130)
Sb (0.250, 0.875, 0.125)
Zn (0.672, 0.431, 0.560)
Zn (0.630, 0.560, 0.888)
Sb (0.750, 0.125, 0.875)
Zn (0.560, 0.931, 0.672)
Zn (0.870, 0.258, 0.431)
Ga (0.125, 0.875, 0.750)
Zn (0.742, 0.612, 0.172)
Sb (0.750, 0.625, 0.375)
Zn (0.940, 0.112, 0.870)
Zn (0.828, 0.888, 0.258)
Zn (0.431, 0.758, 0.870)
Sb (0.000, 0.500, 0.500)

=====

No. 4
Density functional theory data (GGA-PBE) for an optimized crystal structure of TaTc3Br.

Calculated values
Its density of states at the Fermi level is 2.9 states/eV per cell. The value obtained for the total DFT energy (no corrections) is -34.91 eV per cell.

Cell lengths 4.913, 4.913, 4.913 Å; angles 90.00, 90.00, 90.00 degrees
Site moments in Bohr magnetons follow the coordinates.
Sites, in units of the cell vectors:
Ta (0.000, 0.000, 0.000)  -0.45
Tc (0.000, 0.500, 0.000)  2.20
Tc (0.000, 0.000, 0.500)  1.98
Br (0.500, 0.500, 0.500)  0.20
Tc (0.500, 0.000, 0.000)  2.34

=====

No. 5
Density functional theory data (GGA-PBE) for an optimized crystal structure of Rb3AcPa2O9.

Calculated values
Its density of states at the Fermi level is 13.8 states/eV per cell. The value obtained for the total DFT energy (no corrections) is -111.26 eV per cell.

Cell lengths 6.388, 6.388, 7.847 Å; angles 90.00, 90.00, 120.00 degrees
Site moments in Bohr magnetons follow the coordinates.
Sites, in units of the cell vectors:
Rb (0.333, 0.667, 0.667)  0.00
Pa (0.333, 0.667, 0.160)  0.06
O (0.822, 0.178, 0.686)  0.07
Ac (0.000, 0.000, 0.500)  0.03
O (0.500, 0.500, 0.000)  0.05
O (0.500, 0.000, 0.000)  0.05
O (0.178, 0.822, 0.314)  0.07
O (0.356, 0.178, 0.686)  0.07
Rb (0.667, 0.333, 0.333)  0.00
O (0.000, 0.500, 0.000)  0.05
Rb (0.000, 0.000, 0.000)  0.00
Pa (0.667, 0.333, 0.840)  0.06
O (0.644, 0.822, 0.314)  0.07
O (0.178, 0.356, 0.314)  0.07
O (0.822, 0.644, 0.686)  0.07

=====

No. 6
Density functional theory data (GGA-PBE) for an optimized crystal structure of Y2TaRhC.

Calculated values
Its density of states at the Fermi level is 4.4 states/eV per cell. The value obtained for the total DFT energy (no corrections) is -42.31 eV per cell.

Cell lengths 4.867, 4.178, 4.867 Å; angles 90.00, 90.00, 90.00 degrees
Site moments in Bohr magnetons follow the coordinates.
Sites, in units of the cell vectors:
Y (0.500, 0.000, 0.000)  0.01
Rh (0.500, 0.500, 0.500)  -0.01
C (0.000, 0.000, 0.000)  0.00
Ta (0.000, 0.500, 0.000)  0.05
Y (0.000, 0.000, 0.500)  0.01

=====

No. 7
Density functional theory data (GGA-PBE) for an optimized crystal structure of ReSe2NF.

Calculated values
Its density of states at the Fermi level is 4.1 states/eV per cell. As for the offset from the most stable computed form: 1529 meV/atom.

Cell lengths 4.645, 4.645, 3.466 Å; angles 90.00, 90.00, 90.00 degrees
Site moments in Bohr magnetons follow the coordinates.
Sites, in units of the cell vectors:
Se (0.500, 0.000, 0.000)  0.00
N (0.000, 0.000, 0.500)  0.85
Re (0.500, 0.500, 0.500)  0.75
F (0.000, 0.000, 0.000)  -0.03
Se (0.000, 0.500, 0.000)  0.00

=====

No. 8
Density functional theory data (GGA-PBE) for an optimized crystal structure of Na2CaH.

Calculated values
Its density of states at the Fermi level is 2.7 states/eV per cell. As for the offset from the most stable computed form: 0 meV/atom.

Cell lengths 3.604, 3.604, 10.145 Å; angles 79.77, 79.77, 60.00 degrees
Sites, in units of the cell vectors:
H (0.500, 0.500, 0.500)
Na (0.119, 0.119, 0.644)
Ca (0.000, 0.000, 0.000)
Na (0.881, 0.881, 0.356)

=====

No. 9
Density functional theory data (GGA-PBE) for an optimized crystal structure of InCuTc2.

Calculated values
Its density of states at the Fermi level is 4.8 states/eV per cell. The value obtained for the total DFT energy (no corrections) is -25.81 eV per cell.

Cell lengths 4.952, 4.952, 2.855 Å; angles 90.00, 90.00, 116.52 degrees
Sites, in units of the cell vectors:
Tc (0.000, 0.000, 0.000)
Tc (0.500, 0.500, 0.000)
Cu (0.500, 0.000, 0.500)
In (0.000, 0.500, 0.500)

=====

No. 10
Density functional theory data (GGA-PBE) for an optimized crystal structure of YInIN2.

Calculated values
Its density of states at the Fermi level is 2.4 states/eV per cell. As for the offset from the most stable computed form: 374 meV/atom.

Cell lengths 4.341, 4.341, 5.677 Å; angles 90.00, 90.00, 90.00 degrees
Site moments in Bohr magnetons follow the coordinates.
Sites, in units of the cell vectors:
N (0.000, 0.500, 0.000)  0.47
Y (0.500, 0.500, 0.500)  -0.09
N (0.500, 0.000, 0.000)  0.47
I (0.000, 0.000, 0.500)  -0.01
In (0.000, 0.000, 0.000)  -0.01

=====

No. 11
Density functional theory data (GGA-PBE) for an optimized crystal structure of Ta4AlC2.

Calculated values
Its density of states at the Fermi level is 6.3 states/eV per cell. The value obtained for the total DFT energy (no corrections) is -145.56 eV per cell.

Cell lengths 3.272, 5.570, 11.258 Å; angles 90.00, 90.00, 107.08 degrees
Sites, in units of the cell vectors:
C (0.864, 0.728, 0.561)
Al (0.394, 0.788, 0.250)
C (0.864, 0.728, 0.939)
Ta (0.236, 0.473, 0.608)
Ta (0.236, 0.473, 0.892)
Ta (0.500, 0.000, 0.500)
Al (0.606, 0.212, 0.750)
Ta (0.500, 0.000, 0.000)
Ta (0.086, 0.171, 0.250)
Ta (0.764, 0.527, 0.108)
C (0.136, 0.272, 0.439)
Ta (0.764, 0.527, 0.392)
Ta (0.914, 0.829, 0.750)
C (0.136, 0.272, 0.061)

=====

No. 12
Density functional theory data (GGA-PBE) for an optimized crystal structure of TbYSO2.

Calculated values
Its density of states at the Fermi level is 0.0 states/eV per cell. The value obtained for the total DFT energy (no corrections) is -40.36 eV per cell.

Cell lengths 3.794, 3.794, 6.570 Å; angles 106.78, 106.78, 90.00 degrees
Sites, in units of the cell vectors:
Tb (0.153, 0.153, 0.306)
S (0.500, 0.500, 0.999)
Y (0.847, 0.847, 0.694)
O (0.750, 0.250, 0.500)
O (0.250, 0.750, 0.500)

=====

No. 13
Density functional theory data (GGA-PBE) for an optimized crystal structure of PuZr3Np2N6.

Calculated values
Its density of states at the Fermi level is 19.0 states/eV per cell. The value obtained for the total DFT energy (no corrections) is -133.44 eV per cell.

Cell lengths 3.338, 6.748, 7.518 Å; angles 103.50, 102.82, 90.00 degrees
Site moments in Bohr magnetons follow the coordinates.
Sites, in units of the cell vectors:
Zr (0.166, 0.834, 0.331)  0.01
N (0.670, 0.080, 0.341)  -0.08
N (0.001, 0.741, 0.001)  -0.09
N (0.999, 0.259, 0.999)  -0.09
Np (0.832, 0.665, 0.665)  3.04
N (0.337, 0.408, 0.674)  -0.07
Pu (0.500, 0.000, 0.000)  4.67
Zr (0.834, 0.166, 0.669)  0.01
N (0.663, 0.592, 0.326)  -0.07
Np (0.168, 0.335, 0.335)  3.04
Zr (0.500, 0.500, 0.000)  0.01
N (0.330, 0.920, 0.659)  -0.08

=====

No. 14
Density functional theory data (GGA-PBE) for an optimized crystal structure of BaYPS2.

Calculated values
Its density of states at the Fermi level is 5.6 states/eV per cell. As for the offset from the most stable computed form: 0 meV/atom.

Cell lengths 5.281, 5.281, 5.278 Å; angles 90.00, 90.00, 90.00 degrees
Sites, in units of the cell vectors:
P (0.000, 0.000, 0.500)
Ba (0.500, 0.500, 0.500)
S (0.000, 0.500, 0.000)
S (0.500, 0.000, 0.000)
Y (0.000, 0.000, 0.000)

=====

No. 15
Density functional theory data (GGA-PBE) for an optimized crystal structure of TmGeS2.

Calculated values
Its density of states at the Fermi level is 2.3 states/eV per cell. The value obtained for the total DFT energy (no corrections) is -21.13 eV per cell.

Cell lengths 4.007, 4.007, 6.480 Å; angles 71.99, 71.99, 60.00 degrees
Sites, in units of the cell vectors:
S (0.750, 0.750, 0.750)
S (0.250, 0.250, 0.250)
Ge (0.000, 0.000, 0.000)
Tm (0.500, 0.500, 0.500)

=====

No. 16
Density functional theory data (GGA-PBE) for an optimized crystal structure of SmMgPdPt.

Calculated values
Its density of states at the Fermi level is 2.7 states/eV per cell. The value obtained for the total DFT energy (no corrections) is -21.00 eV per cell.

Cell lengths 4.832, 4.832, 4.832 Å; angles 60.00, 60.00, 60.00 degrees
Sites, in units of the cell vectors:
Mg (0.500, 0.500, 0.500)
Pd (0.250, 0.250, 0.250)
Sm (0.000, 0.000, 0.000)
Pt (0.750, 0.750, 0.750)

=====

No. 17
Density functional theory data (GGA-PBE) for an optimized crystal structure of ZnCrIn2.

Calculated values
Its density of states at the Fermi level is 2.0 states/eV per cell. The value obtained for the total DFT energy (no corrections) is -15.37 eV per cell.

Cell lengths 6.377, 6.377, 6.377 Å; angles 152.18, 136.96, 52.03 degrees
Site moments in Bohr magnetons follow the coordinates.
Sites, in units of the cell vectors:
Zn (0.445, 0.445, 0.000)  -0.02
In (0.757, 0.257, 0.500)  -0.08
Cr (0.256, 0.756, 0.500)  3.09
In (0.042, 0.042, 0.000)  -0.02

=====

No. 18
Density functional theory data (GGA-PBE) for an optimized crystal structure of CePrS2.

Calculated values
Its density of states at the Fermi level is 11.1 states/eV per cell. As for the offset from the most stable computed form: 29 meV/atom.

Cell lengths 4.021, 4.021, 13.711 Å; angles 90.00, 90.00, 120.00 degrees
Site moments in Bohr magnetons follow the coordinates.
Sites, in units of the cell vectors:
S (0.667, 0.333, 0.879)  -0.01
Pr (0.667, 0.333, 0.250)  -0.03
S (0.667, 0.333, 0.621)  -0.01
Ce (0.000, 0.000, 0.500)  0.87
Ce (0.000, 0.000, 0.000)  0.87
S (0.333, 0.667, 0.379)  -0.01
Pr (0.333, 0.667, 0.750)  -0.03
S (0.333, 0.667, 0.121)  -0.01

=====

No. 19
Density functional theory data (GGA-PBE) for an optimized crystal structure of Tb2Dy6YHo.

Calculated values
Its density of states at the Fermi level is 27.3 states/eV per cell. The value obtained for the total DFT energy (no corrections) is -93.51 eV per cell.

Cell lengths 9.551, 8.774, 8.774 Å; angles 118.27, 93.98, 93.98 degrees
Sites, in units of the cell vectors:
Ho (0.750, 0.591, 0.409)
Tb (0.043, 0.304, 0.196)
Dy (0.620, 0.498, 0.711)
Dy (0.186, 0.571, 0.020)
Dy (0.556, 0.751, 0.126)
Dy (0.814, 0.429, 0.980)
Tb (0.957, 0.696, 0.804)
Y (0.750, 0.022, 0.978)
Dy (0.444, 0.249, 0.874)
Ho (0.250, 0.409, 0.591)
Dy (0.686, 0.020, 0.571)
Dy (0.380, 0.502, 0.289)
Dy (0.314, 0.980, 0.429)
Dy (0.944, 0.874, 0.249)
Y (0.250, 0.978, 0.022)
Tb (0.457, 0.804, 0.696)
Dy (0.056, 0.126, 0.751)
Dy (0.880, 0.289, 0.502)
Tb (0.543, 0.196, 0.304)
Dy (0.120, 0.711, 0.498)

=====

No. 20
Density functional theory data (GGA-PBE) for an optimized crystal structure of TaAlHg2.

Calculated values
Its density of states at the Fermi level is 1.8 states/eV per cell. The value obtained for the total DFT energy (no corrections) is -15.08 eV per cell.

Cell lengths 4.382, 2.982, 6.135 Å; angles 77.47, 90.00, 90.00 degrees
Sites, in units of the cell vectors:
Hg (0.500, 0.174, 0.257)
Hg (0.000, 0.813, 0.002)
Ta (0.000, 0.543, 0.535)
Al (0.500, 0.969, 0.706)

=====

No. 21
Density functional theory data (GGA-PBE) for an optimized crystal structure of MgCrPt4.

Calculated values
Its density of states at the Fermi level is 4.8 states/eV per cell. The value obtained for the total DFT energy (no corrections) is -36.83 eV per cell.

Cell lengths 5.277, 5.277, 5.277 Å; angles 60.00, 60.00, 60.00 degrees
Site moments in Bohr magnetons follow the coordinates.
Sites, in units of the cell vectors:
Mg (0.000, 0.000, 0.000)  0.00
Pt (0.875, 0.375, 0.375)  0.02
Pt (0.375, 0.375, 0.875)  0.02
Pt (0.375, 0.875, 0.375)  0.02
Pt (0.375, 0.375, 0.375)  0.02
Cr (0.750, 0.750, 0.750)  3.74

=====

No. 22
Density functional theory data (GGA-PBE) for an optimized crystal structure of Dy5RuRh2.

Calculated values
Its density of states at the Fermi level is 8.4 states/eV per cell. The value obtained for the total DFT energy (no corrections) is -103.30 eV per cell.

Cell lengths 4.206, 7.606, 11.913 Å; angles 90.00, 90.00, 90.00 degrees
Sites, in units of the cell vectors:
Ru (0.000, 0.000, 0.000)
Rh (0.500, 0.539, 0.169)
Dy (0.500, 0.824, 0.909)
Dy (0.000, 0.164, 0.797)
Rh (0.500, 0.039, 0.331)
Dy (0.000, 0.000, 0.500)
Dy (0.500, 0.324, 0.591)
Ru (0.000, 0.500, 0.500)
Dy (0.000, 0.336, 0.297)
Dy (0.500, 0.676, 0.409)
Dy (0.500, 0.176, 0.091)
Dy (0.000, 0.664, 0.703)
Dy (0.000, 0.500, 0.000)
Rh (0.500, 0.461, 0.831)
Rh (0.500, 0.961, 0.669)
Dy (0.000, 0.836, 0.203)